1.
DFT (PBE-GGA) results for crystalline GdEr2Zn3AgAu2 at its relaxed geometry.

a b c (Å): 3.8148 7.5435 7.5435
angles (deg): 120.29 90.00 90.00
Fractional positions:
1 Gd 0.0000 0.0000 0.0000
2 Er 0.0000 0.4055 0.8110
3 Er 0.0000 0.8110 0.4055
4 Zn 0.5000 0.1458 0.4072
5 Zn 0.5000 0.4072 0.1458
6 Zn 0.5000 0.6646 0.6646
7 Ag 0.0000 0.4078 0.4078
8 Au 0.5000 0.0733 0.7356
9 Au 0.5000 0.7356 0.0733

Computed properties:
The space group is No. 38. The energy of formation from the pure elements comes out at -582 meV/atom. The total magnetization is 0.01 μB per formula unit.



2.
DFT (PBE-GGA) results for crystalline AlReW at its relaxed geometry.

a b c (Å): 4.2505 4.2505 4.2505
angles (deg): 60.00 60.00 60.00
Fractional positions:
1 Al 0.0000 0.0000 0.0000
2 Re 0.2500 0.2500 0.2500
3 W 0.5000 0.5000 0.5000

Computed properties:
The space group is No. 216. The total magnetization is 0.01 μB per formula unit. As for the energy relative to the lowest polymorph listed for this composition: 0.0 kJ per mole of atoms.



3.
DFT (PBE-GGA) results for crystalline SmScAsO at its relaxed geometry.

a b c (Å): 4.2234 4.2234 8.8535
angles (deg): 90.00 90.00 90.00
Fractional positions:
1 Sm 0.2500 0.2500 0.1167
2 Sm 0.7500 0.7500 0.8833
3 Sc 0.2500 0.7500 0.5000
4 Sc 0.7500 0.2500 0.5000
5 As 0.2500 0.2500 0.6867
6 As 0.7500 0.7500 0.3133
7 O 0.2500 0.7500 0.0000
8 O 0.7500 0.2500 0.0000

Computed properties:
The space group is No. 129. The total magnetization is 0.16 μB per formula unit. As for the energy relative to the lowest polymorph listed for this composition: 0.5 kJ per mole of atoms.



4.
DFT (PBE-GGA) results for crystalline LuAlCoRe at its relaxed geometry.

a b c (Å): 4.4534 4.4534 4.4534
angles (deg): 60.00 60.00 60.00
Fractional positions:
1 Lu 0.0000 0.0000 0.0000
2 Al 0.5000 0.5000 0.5000
3 Co 0.7500 0.7500 0.7500
4 Re 0.2500 0.2500 0.2500

Computed properties:
The space group is No. 216. The total magnetization is 0.05 μB per formula unit. As for the energy relative to the lowest polymorph listed for this composition: 0.0 kJ per mole of atoms.



5.
DFT (PBE-GGA) results for crystalline CsDySO at its relaxed geometry.

a b c (Å): 4.3971 8.6472 6.8300
angles (deg): 90.00 90.00 90.00
Fractional positions:
1 Cs 0.0000 0.1884 0.0000
2 Cs 0.0000 0.8116 0.5000
3 Dy 0.5000 0.3815 0.4445
4 Dy 0.5000 0.6185 0.9445
5 S 0.0000 0.2164 0.5051
6 S 0.0000 0.7836 0.0051
7 O 0.5000 0.4304 0.1407
8 O 0.5000 0.5696 0.6407

Computed properties:
The space group is No. 26. The total magnetization is 0.00 μB per formula unit. As for the energy relative to the lowest polymorph listed for this composition: 3.5 kJ per mole of atoms.



6.
DFT (PBE-GGA) results for crystalline KPAuN at its relaxed geometry.

a b c (Å): 6.3520 6.3520 5.1879
angles (deg): 114.05 114.05 94.13
Fractional positions:
1 K 0.1471 0.8529 0.5000
2 K 0.8529 0.1471 0.0000
3 P 0.3337 0.5018 0.9466
4 P 0.5018 0.3337 0.4466
5 Au 0.5194 0.9210 0.2126
6 Au 0.9210 0.5194 0.7126
7 N 0.3035 0.4002 0.1821
8 N 0.4002 0.3035 0.6821

Computed properties:
The space group is No. 9. As for the energy relative to the lowest polymorph listed for this composition: 0.0 kJ per mole of atoms.



7.
DFT (PBE-GGA) results for crystalline CuSeF at its relaxed geometry.

a b c (Å): 3.4943 5.7852 4.4189
angles (deg): 90.00 90.00 90.00
Fractional positions:
1 Cu 0.0000 0.1953 0.0000
2 Cu 0.5000 0.8047 0.5000
3 Se 0.0000 0.5488 0.2583
4 Se 0.5000 0.4512 0.7583
5 F 0.0000 0.9619 0.6747
6 F 0.5000 0.0381 0.1747

Computed properties:
The space group is No. 31. As for the energy relative to the lowest polymorph listed for this composition: 3.7 kJ per mole of atoms.



8.
DFT (PBE-GGA) results for crystalline NdHoZn2Pb2 at its relaxed geometry.

a b c (Å): 4.6147 4.6147 16.2842
angles (deg): 90.00 90.00 120.00
Fractional positions:
1 Nd 0.0000 0.0000 0.0000
2 Nd 0.0000 0.0000 0.5000
3 Ho 0.0000 0.0000 0.2500
4 Ho 0.0000 0.0000 0.7500
5 Zn 0.3333 0.6667 0.1664
6 Zn 0.3333 0.6667 0.3336
7 Zn 0.6667 0.3333 0.6664
8 Zn 0.6667 0.3333 0.8336
9 Pb 0.3333 0.6667 0.6146
10 Pb 0.3333 0.6667 0.8854
11 Pb 0.6667 0.3333 0.1146
12 Pb 0.6667 0.3333 0.3854

Computed properties:
The space group is No. 194. The total magnetization is 0.00 μB per formula unit. As for the energy relative to the lowest polymorph listed for this composition: 0.0 kJ per mole of atoms.